# 1
## Ga2AsOs (PBE)

Data for Ga2AsOs after structural relaxation.

Calculated values
The calculation puts the total energy at -4.8112 eV per atom. The formation enthalpy at 0 K is 0.672 eV per atom. For the spin magnetization, the calculation gives 4.0 Bohr magnetons per cell.

a b c (Å): 5.7839 5.7839 11.2435
angles (deg): 90.00 90.00 90.00
Space group I-42d (No. 122)
Inequivalent atoms, fractional coordinates:
Ga (0.2409, 0.2500, 0.1250) (multiplicity 8)
As (0.0000, 0.0000, 0.5000) (multiplicity 4)
Os (0.0000, 0.0000, 0.0000) (multiplicity 4)



# 2
## Rb2ZrCuF6 (PBE)

Data for Rb2ZrCuF6 after structural relaxation.

Calculated values
The calculation puts the formation energy from raw total energies at -2.64 eV per atom. The calculation puts the total energy at -5.2206 eV per atom. For the spin magnetization, the calculation gives 0.0 Bohr magnetons per cell.

a b c (Å): 6.9074 6.9074 8.6329
angles (deg): 90.00 90.00 90.00
Space group I4/mmm (No. 139)
Inequivalent atoms, fractional coordinates:
Rb (0.0000, 0.5000, 0.2500) (multiplicity 4)
Zr (0.0000, 0.0000, 0.0000) (multiplicity 2)
Cu (0.0000, 0.0000, 0.5000) (multiplicity 2)
F (0.0000, 0.0000, 0.2377) (multiplicity 4)
F (0.2088, 0.2088, 0.0000) (multiplicity 8)



# 3
## Rb2TePdSe4 (PBE)

Data for Rb2TePdSe4 after structural relaxation.

Calculated values
The calculation puts the formation energy from raw total energies at -0.45 eV per atom. The calculation puts the total energy at -3.4763 eV per atom. For the spin magnetization, the calculation gives 0.0 Bohr magnetons per cell.

a b c (Å): 5.3486 16.5425 22.8635
angles (deg): 90.00 90.00 90.00
Space group Fddd (No. 70, origin choice 2)
Inequivalent atoms, fractional coordinates:
Rb (0.1250, 0.1250, 0.3101) (multiplicity 16)
Te (0.1250, 0.1250, 0.6250) (multiplicity 8)
Pd (0.1250, 0.1250, 0.1250) (multiplicity 8)
Se (0.1228, 0.2674, 0.4464) (multiplicity 32)



# 4
## K2TaCd (PBE)

Data for K2TaCd after structural relaxation.

Calculated values
The calculation puts the total energy at -2.3954 eV per atom. The formation enthalpy at 0 K is 1.345 eV per atom. For the spin magnetization, the calculation gives 16.1 Bohr magnetons per cell.

a b c (Å): 9.7177 9.7177 6.1464
angles (deg): 90.00 90.00 90.00
Space group I-42d (No. 122)
Inequivalent atoms, fractional coordinates:
K (0.2259, 0.2500, 0.1250) (multiplicity 8)
Ta (0.0000, 0.0000, 0.5000) (multiplicity 4)
Cd (0.0000, 0.0000, 0.0000) (multiplicity 4)



# 5
## LiAcSi (PBE)

Data for LiAcSi after structural relaxation.

Calculated values
The calculation puts the formation energy from raw total energies at -0.34 eV per atom. The calculation puts the total energy at -4.1535 eV per atom. The calculation puts the offset from the most stable computed form at 0.124 eV/atom. For the spin magnetization, the calculation gives 0.0 Bohr magnetons per cell.

a b c (Å): 7.1067 7.1067 7.1067
angles (deg): 90.00 90.00 90.00
Space group F-43m (No. 216)
Inequivalent atoms, fractional coordinates:
Li (0.0000, 0.0000, 0.0000) (multiplicity 4)
Ac (0.0000, 0.0000, 0.5000) (multiplicity 4)
Si (0.2500, 0.2500, 0.7500) (multiplicity 4)



# 6
## CuAuF (PBE)

Data for CuAuF after structural relaxation.

Calculated values
The calculation puts the formation energy from raw total energies at -0.65 eV per atom. The calculation puts the total energy at -3.7287 eV per atom. The calculation puts the offset from the most stable computed form at 0.000 eV/atom. For the spin magnetization, the calculation gives 0.0 Bohr magnetons per cell.

a b c (Å): 2.9180 2.9180 5.7672
angles (deg): 90.00 90.00 120.00
Space group P3m1 (No. 156)
Inequivalent atoms, fractional coordinates:
Cu (0.0000, 0.0000, 0.0000) (multiplicity 1)
Au (0.3333, 0.6667, 0.6457) (multiplicity 1)
F (0.6667, 0.3333, 0.2197) (multiplicity 1)



# 7
## CuIr2Pd2 (PBE)

Data for CuIr2Pd2 after structural relaxation.

Calculated values
The calculation puts the total energy at -6.0116 eV per atom. The formation enthalpy at 0 K is 0.429 eV per atom. For the spin magnetization, the calculation gives 0.0 Bohr magnetons per cell.

a b c (Å): 6.3472 6.3472 3.9263
angles (deg): 90.00 90.00 90.00
Space group P4/mbm (No. 127)
Inequivalent atoms, fractional coordinates:
Cu (0.0000, 0.0000, 0.0000) (multiplicity 2)
Ir (0.1356, 0.3644, 0.0000) (multiplicity 4)
Pd (0.1648, 0.6648, 0.5000) (multiplicity 4)



# 8
## Sm3Er3TmTe8 (PBE)

Data for Sm3Er3TmTe8 after structural relaxation.

Calculated values
The calculation puts the formation energy from raw total energies at -1.36 eV per atom. The calculation puts the total energy at -5.1926 eV per atom. For the spin magnetization, the calculation gives 0.0 Bohr magnetons per cell.

a b c (Å): 8.7072 8.7072 21.4709
angles (deg): 90.00 90.00 120.00
Space group R-3m (No. 166, hexagonal axes)
Inequivalent atoms, fractional coordinates:
Sm (0.0000, 0.5000, 0.0000) (multiplicity 9)
Er (0.0000, 0.5000, 0.5000) (multiplicity 9)
Tm (0.0000, 0.0000, 0.5000) (multiplicity 3)
Te (0.0000, 0.0000, 0.2467) (multiplicity 6)
Te (0.0070, 0.5035, 0.7516) (multiplicity 18)



# 9
## InBr2Cl (PBE)

Data for InBr2Cl after structural relaxation.

Calculated values
The calculation puts the formation energy from raw total energies at -0.03 eV per atom. The calculation puts the total energy at -2.0093 eV per atom. The calculation puts the offset from the most stable computed form at 0.884 eV/atom. For the spin magnetization, the calculation gives 1.5 Bohr magnetons per cell.

a b c (Å): 5.1650 5.1650 4.0065
angles (deg): 90.00 90.00 90.00
Space group P4/mmm (No. 123)
Inequivalent atoms, fractional coordinates:
In (0.0000, 0.0000, 0.0000) (multiplicity 1)
Br (0.0000, 0.5000, 0.5000) (multiplicity 2)
Cl (0.5000, 0.5000, 0.0000) (multiplicity 1)



# 10
## Ni2OsCl (PBE)

Data for Ni2OsCl after structural relaxation.

Calculated values
The calculation puts the formation energy from raw total energies at 0.27 eV per atom. The calculation puts the total energy at -5.8900 eV per atom. The calculation puts the offset from the most stable computed form at 0.000 eV/atom. For the spin magnetization, the calculation gives 0.0 Bohr magnetons per cell.

a b c (Å): 2.7728 2.7783 7.2275
angles (deg): 90.00 90.00 90.00
Space group Pmmm (No. 47)
Inequivalent atoms, fractional coordinates:
Ni (0.0000, 0.0000, 0.2303) (multiplicity 2)
Os (0.5000, 0.5000, 0.0000) (multiplicity 1)
Cl (0.0000, 0.5000, 0.5000) (multiplicity 1)



# 11
## HfNiBi3 (PBE)

Data for HfNiBi3 after structural relaxation.

Calculated values
The calculation puts the total energy at -4.9510 eV per atom. The formation enthalpy at 0 K is 0.524 eV per atom. The calculation puts the offset from the most stable computed form at 0.000 eV/atom. For the spin magnetization, the calculation gives 0.0 Bohr magnetons per cell.

a b c (Å): 5.1226 5.1226 5.1226
angles (deg): 90.00 90.00 90.00
Space group Pm-3m (No. 221)
Inequivalent atoms, fractional coordinates:
Hf (0.0000, 0.0000, 0.0000) (multiplicity 1)
Ni (0.5000, 0.5000, 0.5000) (multiplicity 1)
Bi (0.0000, 0.5000, 0.5000) (multiplicity 3)



# 12
## ZnRePt2 (PBE)

Data for ZnRePt2 after structural relaxation.

Calculated values
The calculation puts the total energy at -6.6183 eV per atom. The formation enthalpy at 0 K is -0.167 eV per atom. For the spin magnetization, the calculation gives 1.3 Bohr magnetons per cell.

a b c (Å): 2.8012 2.8012 26.5834
angles (deg): 90.00 90.00 120.00
Space group R-3m (No. 166, hexagonal axes)
Inequivalent atoms, fractional coordinates:
Zn (0.0000, 0.0000, 0.0000) (multiplicity 3)
Re (0.0000, 0.0000, 0.5000) (multiplicity 3)
Pt (0.0000, 0.0000, 0.2509) (multiplicity 6)



# 13
## LaNiCl (PBE)

Data for LaNiCl after structural relaxation.

Calculated values
The calculation puts the formation energy from raw total energies at -0.67 eV per atom. The calculation puts the total energy at -4.8562 eV per atom. For the spin magnetization, the calculation gives 0.4 Bohr magnetons per cell.

a b c (Å): 6.7883 6.7883 6.7883
angles (deg): 90.00 90.00 90.00
Space group F-43m (No. 216)
Inequivalent atoms, fractional coordinates:
La (0.0000, 0.0000, 0.0000) (multiplicity 4)
Ni (0.2500, 0.2500, 0.2500) (multiplicity 4)
Cl (0.2500, 0.2500, 0.7500) (multiplicity 4)



# 14
## HgGeIN2 (PBE)

Data for HgGeIN2 after structural relaxation.

Calculated values
The calculation puts the formation energy from raw total energies at 1.25 eV per atom. The calculation puts the total energy at -3.3783 eV per atom. The calculation puts the offset from the most stable computed form at 0.000 eV/atom. For the spin magnetization, the calculation gives 0.3 Bohr magnetons per cell.

a b c (Å): 3.9480 3.9480 7.0230
angles (deg): 90.00 90.00 90.00
Space group P4/mmm (No. 123)
Inequivalent atoms, fractional coordinates:
Hg (0.0000, 0.0000, 0.0000) (multiplicity 1)
Ge (0.5000, 0.5000, 0.5000) (multiplicity 1)
I (0.5000, 0.5000, 0.0000) (multiplicity 1)
N (0.0000, 0.5000, 0.5000) (multiplicity 2)



# 15
## HfHgPb (PBE)

Data for HfHgPb after structural relaxation.

Calculated values
The calculation puts the total energy at -4.5210 eV per atom. The formation enthalpy at 0 K is 0.134 eV per atom. The calculation puts the offset from the most stable computed form at 0.000 eV/atom. For the spin magnetization, the calculation gives 0.0 Bohr magnetons per cell.

a b c (Å): 3.2977 3.2977 13.6133
angles (deg): 90.00 90.00 90.00
Space group I4mm (No. 107)
Inequivalent atoms, fractional coordinates:
Hf (0.0000, 0.0000, 0.0000) (multiplicity 2)
Hg (0.0000, 0.0000, 0.6430) (multiplicity 2)
Pb (0.0000, 0.0000, 0.3335) (multiplicity 2)



# 16
## CuIr2Os (PBE)

Data for CuIr2Os after structural relaxation.

Calculated values
The calculation puts the total energy at -8.0981 eV per atom. The formation enthalpy at 0 K is 0.164 eV per atom. The calculation puts the offset from the most stable computed form at 0.121 eV/atom. For the spin magnetization, the calculation gives 0.0 Bohr magnetons per cell.

a b c (Å): 2.7364 3.8349 5.3269
angles (deg): 90.00 90.00 90.00
Space group Pmm2 (No. 25)
Inequivalent atoms, fractional coordinates:
Cu (0.0000, 0.0000, 0.0000) (multiplicity 1)
Ir (0.0000, 0.0000, 0.5092) (multiplicity 1)
Ir (0.5000, 0.5000, 0.2340) (multiplicity 1)
Os (0.5000, 0.5000, 0.7448) (multiplicity 1)



# 17
## ErPa2SnN5 (PBE)

Data for ErPa2SnN5 after structural relaxation.

Calculated values
The calculation puts the formation energy from raw total energies at -1.18 eV per atom. The calculation puts the total energy at -8.8670 eV per atom. For the spin magnetization, the calculation gives 0.0 Bohr magnetons per cell.

a b c (Å): 3.5290 15.1106 11.6223
angles (deg): 90.00 90.00 90.00
Space group Cmc2_1 (No. 36)
Inequivalent atoms, fractional coordinates:
Er (0.0000, 0.2473, 0.0000) (multiplicity 4)
Pa (0.0000, 0.1421, 0.7319) (multiplicity 4)
Pa (0.0000, 0.1477, 0.2699) (multiplicity 4)
Sn (0.0000, 0.4958, 0.5597) (multiplicity 4)
N (0.0000, 0.0111, 0.1868) (multiplicity 4)
N (0.0000, 0.2848, 0.6471) (multiplicity 4)
N (0.0000, 0.2971, 0.3494) (multiplicity 4)
N (0.0000, 0.3624, 0.8758) (multiplicity 4)
N (0.0000, 0.3666, 0.1195) (multiplicity 4)



# 18
## Hf7Co2Rh2 (PBE)

Data for Hf7Co2Rh2 after structural relaxation.

Calculated values
The calculation puts the total energy at -9.1448 eV per atom. The formation enthalpy at 0 K is -0.182 eV per atom. The calculation puts the offset from the most stable computed form at 0.230 eV/atom. For the spin magnetization, the calculation gives 0.0 Bohr magnetons per cell.

a b c (Å): 7.1972 9.6902 6.3106
angles (deg): 90.00 90.00 90.00
Space group Cmmm (No. 65)
Inequivalent atoms, fractional coordinates:
Hf (0.0000, 0.0000, 0.0000) (multiplicity 2)
Hf (0.0000, 0.5000, 0.2533) (multiplicity 4)
Hf (0.2500, 0.2500, 0.2573) (multiplicity 8)
Co (0.0000, 0.2891, 0.0000) (multiplicity 4)
Rh (0.1935, 0.0000, 0.5000) (multiplicity 4)



# 19
## CaPuCuAu (PBE)

Data for CaPuCuAu after structural relaxation.

Calculated values
The calculation puts the total energy at -6.1463 eV per atom. The formation enthalpy at 0 K is -0.220 eV per atom. For the spin magnetization, the calculation gives 23.7 Bohr magnetons per cell.

a b c (Å): 7.1976 7.1976 7.1976
angles (deg): 90.00 90.00 90.00
Space group F-43m (No. 216)
Inequivalent atoms, fractional coordinates:
Ca (0.0000, 0.0000, 0.0000) (multiplicity 4)
Pu (0.0000, 0.0000, 0.5000) (multiplicity 4)
Cu (0.2500, 0.2500, 0.7500) (multiplicity 4)
Au (0.2500, 0.2500, 0.2500) (multiplicity 4)